A relaxed structure of Pr7DyEr12. Source: Alexandria via LeMat-Bulk, functional PBE-GGA.

```
Pr7DyEr12
1.0
5.987 3.457 5.421
-5.987 3.457 5.421
0.000 -6.913 5.421
Pr Dy Er
7 1 12
direct
0.000 0.000 0.000
0.101 0.343 0.419
0.343 0.419 0.101
0.419 0.101 0.343
0.581 0.899 0.657
0.657 0.581 0.899
0.899 0.657 0.581
0.500 0.500 0.500
0.003 0.364 0.884
0.116 0.997 0.636
0.227 0.752 0.356
0.248 0.644 0.773
0.356 0.227 0.752
0.364 0.884 0.003
0.636 0.116 0.997
0.644 0.773 0.248
0.752 0.356 0.227
0.773 0.248 0.644
0.884 0.003 0.364
0.997 0.636 0.116
```

Results
N(E_F): 35.824 states/eV per cell
Uncorrected energy: -4.41 eV/atom
Offset from the most stable computed form: 0.000 eV per atom
ΔE_f: 0.23 eV per atom